# 1
The following is a DFT calculation (PBE) of a geometry-optimized Tb9PrTh2 structure.

The formation enthalpy at 0 K comes out at 1.178 eV/f.u.

The structure belongs to space group P6/mmm (No. 191); the cell edges are 11.3995, 11.3995 and 3.5111 Å and the angles 90.00°, 90.00° and 120.00°. The inequivalent atoms are Tb at (0.0000, 0.5000, 0.0000), Tb at (0.1752, 0.3504, 0.5000), Pr at (0.0000, 0.0000, 0.0000) and Th at (0.3333, 0.6667, 0.0000).

=====

# 2
The following is a DFT calculation (PBE) of a geometry-optimized Tb4Pr7Th structure.

The formation enthalpy at 0 K comes out at 0.245 eV/f.u.

The structure belongs to space group P-1 (No. 2); the cell edges are 6.3830, 7.3633 and 9.0799 Å and the angles 90.13°, 103.67° and 90.01°. The inequivalent atoms are Tb at (0.2195, 0.0002, 0.1630), Tb at (0.2740, 0.7508, 0.8294), Pr at (0.0000, 0.0000, 0.5000), Pr at (0.2192, 0.4999, 0.1712), Pr at (0.2770, 0.2512, 0.8315), Pr at (0.4994, 0.2526, 0.4978) and Th at (0.0000, 0.5000, 0.5000).

=====

# 3
The following is a DFT calculation (PBE) of a geometry-optimized Tb6PrTh2 structure.

The formation enthalpy at 0 K comes out at 0.517 eV/f.u.

The structure belongs to space group Cmmm (No. 65); the cell edges are 9.7932, 16.9991 and 3.5014 Å and the angles 90.00°, 90.00° and 90.00°. The inequivalent atoms are Tb at (0.1638, 0.0000, 0.0000), Tb at (0.1678, 0.3321, 0.0000), Pr at (0.0000, 0.5000, 0.5000) and Th at (0.0000, 0.1667, 0.5000).

=====

# 4
The following is a DFT calculation (PBE) of a geometry-optimized Tb2PrTh structure.

The formation enthalpy at 0 K comes out at 0.324 eV/f.u.

The structure belongs to space group Cmcm (No. 63); the cell edges are 3.5146, 27.8970 and 5.4829 Å and the angles 90.00°, 90.00° and 90.00°. The inequivalent atoms are Tb at (0.0000, 0.0895, 0.2500), Tb at (0.0000, 0.3465, 0.2500), Pr at (0.0000, 0.2171, 0.2500) and Th at (0.0000, 0.4709, 0.2500).

=====

# 5
The following is a DFT calculation (PBE) of a geometry-optimized TbPr8Th4 structure.

The formation enthalpy at 0 K comes out at 7.085 eV/f.u.

The structure belongs to space group R-3m (No. 166, hexagonal axes); the cell edges are 11.5228, 11.5228 and 13.0988 Å and the angles 90.00°, 90.00° and 120.00°. The inequivalent atoms are Tb at (0.0000, 0.0000, 0.0000), Pr at (0.0000, 0.0000, 0.2638), Pr at (0.0058, 0.5029, 0.2308), Th at (0.0000, 0.0000, 0.5000) and Th at (0.0000, 0.5000, 0.5000).

=====

# 6
The following is a DFT calculation (PBE) of a geometry-optimized Tb2Pr3Th structure.

The formation enthalpy at 0 K comes out at 0.267 eV/f.u.

The structure belongs to space group Imma (No. 74); the cell edges are 5.1531, 10.3124 and 15.4540 Å and the angles 90.00°, 90.00° and 90.00°. The inequivalent atoms are Tb at (0.0000, 0.2500, 0.0033), Tb at (0.0000, 0.2500, 0.6659), Pr at (0.0000, 0.0000, 0.5000), Pr at (0.0000, 0.0043, 0.1677) and Th at (0.0000, 0.2500, 0.3307).

=====

# 7
The following is a DFT calculation (PBE) of a geometry-optimized Tb6PrTh2 structure.

The formation enthalpy at 0 K comes out at 0.698 eV/f.u.

The structure belongs to space group P-6m2 (No. 187); the cell edges are 3.5839, 3.5839 and 26.6201 Å and the angles 90.00°, 90.00° and 120.00°. The inequivalent atoms are Tb at (0.0000, 0.0000, 0.0626), Tb at (0.0000, 0.0000, 0.2796), Tb at (0.3333, 0.6667, 0.3868), Pr at (0.0000, 0.0000, 0.5000) and Th at (0.3333, 0.6667, 0.1688).

=====

# 8
The following is a DFT calculation (PBE) of a geometry-optimized TbPrTh2 structure.

The formation enthalpy at 0 K comes out at 0.221 eV/f.u.

The structure belongs to space group R3m (No. 160, hexagonal axes); the cell edges are 3.5946, 3.5946 and 35.4070 Å and the angles 90.00°, 90.00° and 120.00°. The inequivalent atoms are Tb at (0.0000, 0.0000, 0.0000), Pr at (0.0000, 0.0000, 0.1698), Th at (0.0000, 0.0000, 0.4166) and Th at (0.0000, 0.0000, 0.5862).

=====

# 9
The following is a DFT calculation (PBE) of a geometry-optimized Tb5Pr4Th4 structure.

The formation enthalpy at 0 K comes out at 0.531 eV/f.u.

The structure belongs to space group I4/m (No. 87); the cell edges are 13.0583, 13.0583 and 5.0956 Å and the angles 90.00°, 90.00° and 90.00°. The inequivalent atoms are Tb at (0.0000, 0.0000, 0.0000), Tb at (0.0375, 0.1959, 0.5000), Pr at (0.1519, 0.7668, 0.0000) and Th at (0.0750, 0.3894, 0.0000).

=====

# 10
The following is a DFT calculation (PBE) of a geometry-optimized Tb8Pr4Th structure.

The formation enthalpy at 0 K comes out at 6.643 eV/f.u.

The structure belongs to space group R-3m (No. 166, hexagonal axes); the cell edges are 11.1130, 11.1130 and 13.5736 Å and the angles 90.00°, 90.00° and 120.00°. The inequivalent atoms are Tb at (0.0000, 0.0000, 0.2409), Tb at (0.0119, 0.5059, 0.7465), Pr at (0.0000, 0.0000, 0.0000), Pr at (0.0000, 0.5000, 0.0000) and Th at (0.0000, 0.0000, 0.5000).

=====

# 11
The following is a DFT calculation (PBE) of a geometry-optimized Tb4Pr7Th structure.

The formation enthalpy at 0 K comes out at 2.766 eV/f.u.

The structure belongs to space group C2/m (No. 12); the cell edges are 16.2245, 6.1583 and 9.3800 Å and the angles 90.00°, 115.29° and 90.00°. The inequivalent atoms are Tb at (0.0704, 0.0000, 0.1948), Tb at (0.1713, 0.0000, 0.8806), Pr at (0.0000, 0.0000, 0.5000), Pr at (0.0836, 0.5000, 0.9396), Pr at (0.2055, 0.5000, 0.3804), Pr at (0.2133, 0.5000, 0.7358) and Th at (0.0000, 0.5000, 0.5000).

=====

# 12
The following is a DFT calculation (PBE) of a geometry-optimized Tb3Pr4Th2 structure.

The formation enthalpy at 0 K comes out at 0.767 eV/f.u.

The structure belongs to space group P3m1 (No. 156); the cell edges are 3.6057, 3.6057 and 27.3365 Å and the angles 90.00°, 90.00° and 120.00°. The inequivalent atoms are Tb at (0.0000, 0.0000, 0.0000), Tb at (0.0000, 0.0000, 0.3400), Tb at (0.6667, 0.3333, 0.6723), Pr at (0.0000, 0.0000, 0.5646), Pr at (0.0000, 0.0000, 0.7826), Pr at (0.6667, 0.3333, 0.2328), Pr at (0.6667, 0.3333, 0.4489), Th at (0.6667, 0.3333, 0.1063) and Th at (0.6667, 0.3333, 0.8928).